First-principles (PBE) data for an optimized crystal structure of ZnRe2Os, as listed in the Alexandria database.

Structure (CIF):
```
data_ZnRe2Os
_symmetry_space_group_name_H-M 'I 4/m m m'
_symmetry_Int_Tables_number 139
_symmetry_space_group_name_Hall '-I 4 2'
_cell_length_a 3.738
_cell_length_b 3.738
_cell_length_c 8.327
_cell_angle_alpha 90.00
_cell_angle_beta 90.00
_cell_angle_gamma 90.00
loop_
_atom_site_label
_atom_site_fract_x
_atom_site_fract_y
_atom_site_fract_z
Zn1 0.000 0.000 0.000
Re1 0.000 0.500 0.250
Os1 0.000 0.000 0.500
```

First-principles (PBE) data for an optimized crystal structure of ZnRe2Os, as listed in the Alexandria database.

Structure (CIF):
```
data_ZnRe2Os
_symmetry_space_group_name_H-M 'C m m 2'
_symmetry_Int_Tables_number 35
_symmetry_space_group_name_Hall 'C 2 -2'
_cell_length_a 2.866
_cell_length_b 4.592
_cell_length_c 9.057
_cell_angle_alpha 90.00
_cell_angle_beta 90.00
_cell_angle_gamma 90.00
loop_
_atom_site_label
_atom_site_fract_x
_atom_site_fract_y
_atom_site_fract_z
Zn1 0.000 0.000 0.000
Re1 0.000 0.000 0.502
Re2 0.000 0.500 0.253
Os1 0.000 0.500 0.752
```

First-principles (PBE) data for an optimized crystal structure of Zn2ReOs, as listed in the Alexandria database.

Structure (CIF):
```
data_Zn2ReOs
_symmetry_space_group_name_H-M 'F m -3 m'
_symmetry_Int_Tables_number 225
_symmetry_space_group_name_Hall '-F 4 2 3'
_cell_length_a 6.075
_cell_length_b 6.075
_cell_length_c 6.075
_cell_angle_alpha 90.00
_cell_angle_beta 90.00
_cell_angle_gamma 90.00
loop_
_atom_site_label
_atom_site_fract_x
_atom_site_fract_y
_atom_site_fract_z
Zn1 0.250 0.250 0.250
Re1 0.000 0.000 0.000
Os1 0.000 0.000 0.500
```

First-principles (PBE) data for an optimized crystal structure of Zr2ReOs, as listed in the Alexandria database.

Structure (CIF):
```
data_Zr2ReOs
_symmetry_space_group_name_H-M 'R -3 m'
_symmetry_Int_Tables_number 166
_symmetry_space_group_name_Hall '-R 3 2"'
_cell_length_a 3.1644
_cell_length_b 3.1644
_cell_length_c 25.3736
_cell_angle_alpha 90.00
_cell_angle_beta 90.00
_cell_angle_gamma 120.00
loop_
_atom_site_label
_atom_site_fract_x
_atom_site_fract_y
_atom_site_fract_z
Zr1 0.0000 0.0000 0.2500
Re1 0.0000 0.0000 0.0000
Os1 0.0000 0.0000 0.5000
```

First-principles (PBE) data for an optimized crystal structure of ZrReOs2, as listed in the Alexandria database.

Structure (CIF):
```
data_ZrReOs2
_symmetry_space_group_name_H-M 'P 1 m 1'
_symmetry_Int_Tables_number 6
_symmetry_space_group_name_Hall 'P -2y'
_cell_length_a 2.891
_cell_length_b 4.532
_cell_length_c 5.010
_cell_angle_alpha 90.00
_cell_angle_beta 98.47
_cell_angle_gamma 90.00
loop_
_atom_site_label
_atom_site_fract_x
_atom_site_fract_y
_atom_site_fract_z
Zr1 0.000 0.000 0.000
Re1 0.213 0.500 0.639
Os1 0.556 0.500 0.163
Os2 0.620 0.000 0.491
```

First-principles (PBE) data for an optimized crystal structure of Zr2ReOs, as listed in the Alexandria database.

Structure (CIF):
```
data_Zr2ReOs
_symmetry_space_group_name_H-M 'P 4/m m m'
_symmetry_Int_Tables_number 123
_symmetry_space_group_name_Hall '-P 4 2'
_cell_length_a 4.660
_cell_length_b 4.660
_cell_length_c 3.290
_cell_angle_alpha 90.00
_cell_angle_beta 90.00
_cell_angle_gamma 90.00
loop_
_atom_site_label
_atom_site_fract_x
_atom_site_fract_y
_atom_site_fract_z
Zr1 0.000 0.500 0.000
Re1 0.000 0.000 0.500
Os1 0.500 0.500 0.500
```

First-principles (PBE) data for an optimized crystal structure of ZrRe2Os, as listed in the Alexandria database.

Structure (CIF):
```
data_ZrRe2Os
_symmetry_space_group_name_H-M 'P 4/m m m'
_symmetry_Int_Tables_number 123
_symmetry_space_group_name_Hall '-P 4 2'
_cell_length_a 3.967
_cell_length_b 3.967
_cell_length_c 4.149
_cell_angle_alpha 90.00
_cell_angle_beta 90.00
_cell_angle_gamma 90.00
loop_
_atom_site_label
_atom_site_fract_x
_atom_site_fract_y
_atom_site_fract_z
Zr1 0.000 0.000 0.000
Re1 0.000 0.500 0.500
Os1 0.500 0.500 0.000
```

First-principles (PBE) data for an optimized crystal structure of Zr2ReOs, as listed in the Alexandria database.

Structure (CIF):
```
data_Zr2ReOs
_symmetry_space_group_name_H-M 'I -4 2 d'
_symmetry_Int_Tables_number 122
_symmetry_space_group_name_Hall 'I -4 2bw'
_cell_length_a 7.393
_cell_length_b 7.393
_cell_length_c 5.583
_cell_angle_alpha 90.00
_cell_angle_beta 90.00
_cell_angle_gamma 90.00
loop_
_atom_site_label
_atom_site_fract_x
_atom_site_fract_y
_atom_site_fract_z
Zr1 0.243 0.250 0.125
Re1 0.000 0.000 0.500
Os1 0.000 0.000 0.000
```

First-principles (PBE) data for an optimized crystal structure of ZrReOs2, as listed in the Alexandria database.

Structure (CIF):
```
data_ZrReOs2
_symmetry_space_group_name_H-M 'C m m m'
_symmetry_Int_Tables_number 65
_symmetry_space_group_name_Hall '-C 2 2'
_cell_length_a 5.763
_cell_length_b 7.625
_cell_length_c 2.922
_cell_angle_alpha 90.00
_cell_angle_beta 90.00
_cell_angle_gamma 90.00
loop_
_atom_site_label
_atom_site_fract_x
_atom_site_fract_y
_atom_site_fract_z
Zr1 0.000 0.000 0.000
Re1 0.000 0.500 0.000
Os1 0.250 0.250 0.500
```

First-principles (PBE) data for an optimized crystal structure of ZrRe2Os, as listed in the Alexandria database.

Structure (CIF):
```
data_ZrRe2Os
_symmetry_space_group_name_H-M 'P m m m'
_symmetry_Int_Tables_number 47
_symmetry_space_group_name_Hall '-P 2 2'
_cell_length_a 3.151
_cell_length_b 4.472
_cell_length_c 4.616
_cell_angle_alpha 90.00
_cell_angle_beta 90.00
_cell_angle_gamma 90.00
loop_
_atom_site_label
_atom_site_fract_x
_atom_site_fract_y
_atom_site_fract_z
Zr1 0.000 0.000 0.000
Re1 0.000 0.500 0.500
Re2 0.500 0.000 0.500
Os1 0.500 0.500 0.000
```

First-principles (PBE) data for an optimized crystal structure of Zr2ReOs, as listed in the Alexandria database.

Structure (CIF):
```
data_Zr2ReOs
_symmetry_space_group_name_H-M 'I m m m'
_symmetry_Int_Tables_number 71
_symmetry_space_group_name_Hall '-I 2 2'
_cell_length_a 3.284
_cell_length_b 4.832
_cell_length_c 8.933
_cell_angle_alpha 90.00
_cell_angle_beta 90.00
_cell_angle_gamma 90.00
loop_
_atom_site_label
_atom_site_fract_x
_atom_site_fract_y
_atom_site_fract_z
Zr1 0.000 0.000 0.250
Re1 0.000 0.500 0.000
Os1 0.000 0.500 0.500
```

First-principles (PBE) data for an optimized crystal structure of ZrRe2Os, as listed in the Alexandria database.

Structure (CIF):
```
data_ZrRe2Os
_symmetry_space_group_name_H-M 'P 1 2/m 1'
_symmetry_Int_Tables_number 10
_symmetry_space_group_name_Hall '-P 2y'
_cell_length_a 2.776
_cell_length_b 4.515
_cell_length_c 5.273
_cell_angle_alpha 90.00
_cell_angle_beta 101.39
_cell_angle_gamma 90.00
loop_
_atom_site_label
_atom_site_fract_x
_atom_site_fract_y
_atom_site_fract_z
Zr1 0.000 0.000 0.000
Re1 0.220 0.500 0.742
Os1 0.500 0.000 0.500
```

First-principles (PBE) data for an optimized crystal structure of Zr2ReOs, as listed in the Alexandria database.

Structure (CIF):
```
data_Zr2ReOs
_symmetry_space_group_name_H-M 'P m m m'
_symmetry_Int_Tables_number 47
_symmetry_space_group_name_Hall '-P 2 2'
_cell_length_a 3.275
_cell_length_b 4.468
_cell_length_c 4.844
_cell_angle_alpha 90.00
_cell_angle_beta 90.00
_cell_angle_gamma 90.00
loop_
_atom_site_label
_atom_site_fract_x
_atom_site_fract_y
_atom_site_fract_z
Zr1 0.000 0.000 0.000
Zr2 0.500 0.000 0.500
Re1 0.000 0.500 0.500
Os1 0.500 0.500 0.000
```

First-principles (PBE) data for an optimized crystal structure of ZrReOs2, as listed in the Alexandria database.

Structure (CIF):
```
data_ZrReOs2
_symmetry_space_group_name_H-M 'I -4 m 2'
_symmetry_Int_Tables_number 119
_symmetry_space_group_name_Hall 'I -4 -2'
_cell_length_a 3.947
_cell_length_b 3.947
_cell_length_c 8.294
_cell_angle_alpha 90.00
_cell_angle_beta 90.00
_cell_angle_gamma 90.00
loop_
_atom_site_label
_atom_site_fract_x
_atom_site_fract_y
_atom_site_fract_z
Zr1 0.000 0.000 0.000
Re1 0.000 0.500 0.250
Os1 0.000 0.000 0.500
Os2 0.000 0.500 0.750
```

Computed values of formation enthalpy at 0 K (unit: eV/atom) for the preceding records, in sequence: 0.3069; 0.3325; 0.5528; 0.0855; 0.0369; -0.3736; 0.1462; 0.4103; 0.0494; 0.0514; -0.0534; 0.1494; -0.0528; 0.1151.